# NiHPd2 (PBE, relaxed)
# Energy relative to the lowest polymorph listed for this composition ... 0.41 eV/f.u.
data_NiHPd2
_chemical_formula_sum 'Ni4 H4 Pd8'
_cell_length_a 5.9391
_cell_length_b 5.9391
_cell_length_c 5.2885
_cell_angle_alpha 90.00
_cell_angle_beta 90.00
_cell_angle_gamma 90.00
_symmetry_space_group_name_H-M 'I -4 2 d'
_symmetry_Int_Tables_number 122
_symmetry_space_group_name_Hall 'I -4 2bw'
loop_
_atom_site_label
_atom_site_fract_x
_atom_site_fract_y
_atom_site_fract_z
Ni1 0.0000 0.0000 0.0000
H1 0.0000 0.0000 0.5000
Pd1 0.1568 0.2500 0.6250